# PBE with a Hubbard U KMgV2O6, optimized geometry
# - N(E_F) (states/eV per cell) = 3.09
# - electronic total energy (eV per atom) = -6.81
data_KMgV2O6
_symmetry_space_group_name_H-M 'P 1'
_symmetry_Int_Tables_number 1
_cell_length_a 7.876
_cell_length_b 7.876
_cell_length_c 6.107
_cell_angle_alpha 105.53
_cell_angle_beta 105.53
_cell_angle_gamma 93.11
loop_
_symmetry_equiv_pos_as_xyz
'x,y,z'
loop_
_atom_site_label
_atom_site_type_symbol
_atom_site_fract_x
_atom_site_fract_y
_atom_site_fract_z
_atom_site_occupancy
K1 K 0.112 0.888 0.750 1
K2 K 0.888 0.112 0.250 1
Mg1 Mg 0.228 0.772 0.250 1
Mg2 Mg 0.772 0.228 0.750 1
V1 V 0.219 0.384 0.831 1
V2 V 0.384 0.219 0.331 1
V3 V 0.616 0.781 0.669 1
V4 V 0.781 0.616 0.169 1
O1 O 0.015 0.249 0.719 1
O2 O 0.208 0.609 0.938 1
O3 O 0.249 0.015 0.219 1
O4 O 0.315 0.343 0.582 1
O5 O 0.343 0.315 0.082 1
O6 O 0.391 0.792 0.562 1
O7 O 0.609 0.208 0.438 1
O8 O 0.657 0.685 0.918 1
O9 O 0.685 0.657 0.418 1
O10 O 0.751 0.985 0.781 1
O11 O 0.792 0.391 0.062 1
O12 O 0.985 0.751 0.281 1